(1)
Material: BaMn4Os
Method: DFT, PBE-GGA
State: optimized geometry

Its volume is 96.42 Å³/f.u. The calculation puts the energy relative to the elements at 0.96 eV per atom. As for the total energy: -44.067 eV per formula unit.

The structure in CIF format:
```
data_BaMn4Os
_space_group_name_H-M_alt 'F -4 3 m'
_space_group_IT_number 216
_space_group_name_Hall 'F -4 2 3'
_cell_length_a 7.279
_cell_length_b 7.279
_cell_length_c 7.279
_cell_angle_alpha 90.00
_cell_angle_beta 90.00
_cell_angle_gamma 90.00
loop_
_atom_site_label
_atom_site_type_symbol
_atom_site_fract_x
_atom_site_fract_y
_atom_site_fract_z
Ba1 Ba 0.000 0.000 0.000
Mn1 Mn 0.122 0.122 0.622
Os1 Os 0.250 0.250 0.250
```


(2)
Material: ZrSc2SbN
Method: DFT, PBE-GGA
State: optimized geometry

Its volume is 89.99 Å³/f.u. Its formation energy (no corrections) is -1.022 eV per atom. As for the total energy: -38.768 eV per formula unit.

The structure in CIF format:
```
data_ZrSc2SbN
_space_group_name_H-M_alt 'P 4/m m m'
_space_group_IT_number 123
_space_group_name_Hall '-P 4 2'
_cell_length_a 4.392
_cell_length_b 4.392
_cell_length_c 4.666
_cell_angle_alpha 90.00
_cell_angle_beta 90.00
_cell_angle_gamma 90.00
loop_
_atom_site_label
_atom_site_type_symbol
_atom_site_fract_x
_atom_site_fract_y
_atom_site_fract_z
Zr1 Zr 0.000 0.000 0.000
Sc1 Sc 0.000 0.500 0.500
Sb1 Sb 0.500 0.500 0.000
N1 N 0.000 0.000 0.500
```


(3)
Material: Na3LiF4
Method: DFT, PBE-GGA
State: optimized geometry

Its volume is 113.79 Å³/f.u. Its formation energy (no corrections) is -2.732 eV per atom. As for the total energy: -35.209 eV per formula unit.

The structure in CIF format:
```
data_Na3LiF4
_space_group_name_H-M_alt 'P m n 21'
_space_group_IT_number 31
_cell_length_a 7.601
_cell_length_b 6.435
_cell_length_c 4.653
_cell_angle_alpha 90.00
_cell_angle_beta 90.00
_cell_angle_gamma 90.00
loop_
_space_group_symop_operation_xyz
'x,y,z'
'-x+1/2,-y,z+1/2'
'-x,y,z'
'x+1/2,-y,z+1/2'
loop_
_atom_site_label
_atom_site_type_symbol
_atom_site_fract_x
_atom_site_fract_y
_atom_site_fract_z
Na1 Na 0.000 0.156 0.000
Na2 Na 0.247 0.328 0.500
Li1 Li 0.000 0.827 0.463
F1 F 0.000 0.133 0.505
F2 F 0.000 0.820 0.039
F3 F 0.230 0.681 0.506
```


(4)
Material: PtI2O
Method: DFT, PBE-GGA
State: optimized geometry

Its volume is 77.14 Å³/f.u. Its formation energy (no corrections) is 0.792 eV per atom. As for the total energy: -10.932 eV per formula unit.

The structure in CIF format:
```
data_PtI2O
_space_group_name_H-M_alt 'F m -3 m'
_space_group_IT_number 225
_space_group_name_Hall '-F 4 2 3'
_cell_length_a 6.757
_cell_length_b 6.757
_cell_length_c 6.757
_cell_angle_alpha 90.00
_cell_angle_beta 90.00
_cell_angle_gamma 90.00
loop_
_atom_site_label
_atom_site_type_symbol
_atom_site_fract_x
_atom_site_fract_y
_atom_site_fract_z
Pt1 Pt 0.000 0.000 0.000
I1 I 0.250 0.250 0.250
O1 O 0.000 0.000 0.500
```


(5)
Material: Li3Zn12Ag
Method: DFT, PBE-GGA
State: optimized geometry

Its volume is 237.28 Å³/f.u. The calculation puts the energy relative to the elements at -0.10 eV per atom. As for the total energy: -25.429 eV per formula unit.

The structure in CIF format:
```
data_Li3Zn12Ag
_space_group_name_H-M_alt 'P 4/m m m'
_space_group_IT_number 123
_space_group_name_Hall '-P 4 2'
_cell_length_a 4.082
_cell_length_b 4.082
_cell_length_c 14.239
_cell_angle_alpha 90.00
_cell_angle_beta 90.00
_cell_angle_gamma 90.00
loop_
_atom_site_label
_atom_site_type_symbol
_atom_site_fract_x
_atom_site_fract_y
_atom_site_fract_z
Li1 Li 0.000 0.000 0.000
Li2 Li 0.000 0.000 0.247
Zn1 Zn 0.000 0.500 0.124
Zn2 Zn 0.000 0.500 0.369
Zn3 Zn 0.500 0.500 0.000
Zn4 Zn 0.500 0.500 0.248
Zn5 Zn 0.500 0.500 0.500
Ag1 Ag 0.000 0.000 0.500
```


(6)
Material: Pr2ZnSb
Method: DFT, PBE-GGA
State: optimized geometry

Its volume is 111.37 Å³/f.u. Its formation energy (no corrections) is -0.642 eV per atom. As for the total energy: -17.522 eV per formula unit.

The structure in CIF format:
```
data_Pr2ZnSb
_space_group_name_H-M_alt 'P 4/m m m'
_space_group_IT_number 123
_space_group_name_Hall '-P 4 2'
_cell_length_a 4.013
_cell_length_b 4.013
_cell_length_c 6.915
_cell_angle_alpha 90.00
_cell_angle_beta 90.00
_cell_angle_gamma 90.00
loop_
_atom_site_label
_atom_site_type_symbol
_atom_site_fract_x
_atom_site_fract_y
_atom_site_fract_z
Pr1 Pr 0.000 0.000 0.248
Zn1 Zn 0.500 0.500 0.000
Sb1 Sb 0.500 0.500 0.500
```